Below is a PBEsol-optimized structure of TlCdIn2, with properties calculated at the SCAN level.

Calculated values
energy relative to the elements: 64 meV/atom
calculated total energy: -169.3 eV per cell
space group: P4/mmm (123)
N(E_F): 1.68 states/eV/cell

a b c (Å): 3.337 3.337 8.954
angles (deg): 90.00 90.00 90.00
Sites, in units of the cell vectors:
Tl 0.000 0.000 0.000
Cd 0.000 0.000 0.500
In 0.500 0.500 0.269
In 0.500 0.500 0.731

Below is a PBEsol-optimized structure of TlCdIn2, with properties calculated at the SCAN level.

Calculated values
energy relative to the elements: 84 meV/atom
calculated total energy: -169.2 eV per cell
space group: P2/m (10)
N(E_F): 1.66 states/eV/cell

a b c (Å): 3.147 5.280 6.297
angles (deg): 90.00 104.01 90.00
Sites, in units of the cell vectors:
Tl 0.000 0.000 0.000
Cd 0.500 0.000 0.500
In 0.365 0.500 0.741
In 0.635 0.500 0.259

Below is a PBEsol-optimized structure of TlCd2In, with properties calculated at the SCAN level.

Calculated values
energy relative to the elements: 92 meV/atom
calculated total energy: -332.4 eV per cell
space group: I-4m2 (119)
offset from the most stable computed form: 0.15 eV per formula unit
N(E_F): 3.66 states/eV/cell

a b c (Å): 4.604 4.604 9.058
angles (deg): 90.00 90.00 90.00
Sites, in units of the cell vectors:
Tl 0.000 0.000 0.000
Tl 0.500 0.500 0.500
Cd 0.000 0.000 0.500
Cd 0.000 0.500 0.250
Cd 0.500 0.000 0.750
Cd 0.500 0.500 0.000
In 0.000 0.500 0.750
In 0.500 0.000 0.250

Below is a PBEsol-optimized structure of TlCdIn2, with properties calculated at the SCAN level.

Calculated values
energy relative to the elements: 81 meV/atom
calculated total energy: -338.4 eV per cell
space group: Immm (71)
N(E_F): 3.64 states/eV/cell

a b c (Å): 3.429 5.391 10.933
angles (deg): 90.00 90.00 90.00
Sites, in units of the cell vectors:
Tl 0.000 0.000 0.000
Tl 0.500 0.500 0.500
Cd 0.000 0.000 0.500
Cd 0.500 0.500 0.000
In 0.000 0.500 0.237
In 0.000 0.500 0.763
In 0.500 0.000 0.263
In 0.500 0.000 0.737